The following is a PBE with a Hubbard U calculation of a relaxed structure of ZnNiI2O, from Alexandria via LeMat-Bulk.

```
ZnNiI2O
1.0
5.819 0.000 0.000
0.000 5.819 0.000
0.000 0.000 3.540
Zn Ni I O
1 1 2 1
Direct
0.000 0.000 0.000
0.500 0.500 0.500
0.000 0.500 0.500
0.500 0.000 0.500
0.500 0.500 0.000
```

Computed properties:
The value obtained for the energy is -0.0828 Ha/atom. The volume comes out at 120 Å³/cell.